No. 1
Material: SmCr2O2
Method: DFT, GGA+U
State: relaxed

The space group is I4_1/amd (No. 141, origin choice 2) and the conventional cell measures 8.8778, 8.8778 and 9.8534 Å, with angles of 90.00, 90.00 and 90.00 degrees. The asymmetric unit holds Sm at (0.0000, 0.0000, 0.0000), Cr at (0.0000, 0.0541, 0.6369) and O at (0.0000, 0.0928, 0.2087).

The magnetization is 72.41 Bohr magnetons per cell. As for the total energy: -6.73 eV per atom. The density of states at the Fermi level is 12.14 states/eV/cell.

No. 2
Material: Sm3Cr5O12
Method: DFT, GGA+U
State: relaxed

The space group is Ia-3d (No. 230) and the conventional cell measures 12.7148, 12.7148 and 12.7148 Å, with angles of 90.00, 90.00 and 90.00 degrees. The asymmetric unit holds Sm at (0.0000, 0.2500, 0.1250), Cr at (0.0000, 0.0000, 0.0000), Cr at (0.0000, 0.2500, 0.3750) and O at (0.0236, 0.0508, 0.6512).

The magnetization is 120.00 Bohr magnetons per cell. As for the total energy: -7.95 eV per atom.

No. 3
Material: SmCr2O8
Method: DFT, GGA+U
State: relaxed

The space group is I4/mmm (No. 139) and the conventional cell measures 4.6985, 4.6985 and 11.7048 Å, with angles of 90.00, 90.00 and 90.00 degrees. The asymmetric unit holds Sm at (0.0000, 0.0000, 0.0000), Cr at (0.0000, 0.5000, 0.2500) and O at (0.2493, 0.2493, 0.3523).

The magnetization is 0.91 Bohr magnetons per cell. As for the total energy: -6.49 eV per atom. The density of states at the Fermi level is 5.33 states/eV/cell.

No. 4
Material: Sm4Cr6O19
Method: DFT, GGA+U
State: relaxed

The space group is I23 (No. 197) and the conventional cell measures 8.7084, 8.7084 and 8.7084 Å, with angles of 90.00, 90.00 and 90.00 degrees. The asymmetric unit holds Sm at (0.1614, 0.1614, 0.8386), Cr at (0.0000, 0.3378, 0.5000), O at (0.0000, 0.0000, 0.0000), O at (0.0000, 0.0000, 0.3522) and O at (0.0396, 0.3189, 0.2865).

The magnetization is 20.00 Bohr magnetons per cell. As for the total energy: -7.61 eV per atom. The density of states at the Fermi level is 13.01 states/eV/cell.

No. 5
Material: SmCrO5
Method: DFT, GGA+U
State: relaxed

The space group is P4/nmm (No. 129, origin choice 2) and the conventional cell measures 7.3857, 7.3857 and 4.5829 Å, with angles of 90.00, 90.00 and 90.00 degrees. The asymmetric unit holds Sm at (0.2500, 0.2500, 0.2424), Cr at (0.2500, 0.7500, 0.5000), O at (0.0659, 0.7500, 0.7089) and O at (0.2500, 0.2500, 0.7452).

The magnetization is 2.01 Bohr magnetons per cell. As for the total energy: -7.02 eV per atom. The density of states at the Fermi level is 10.82 states/eV/cell.

No. 6
Material: SrSmCrSnO6
Method: DFT, GGA+U
State: relaxed

The space group is F-43m (No. 216) and the conventional cell measures 7.9958, 7.9958 and 7.9958 Å, with angles of 90.00, 90.00 and 90.00 degrees. The asymmetric unit holds Sr at (0.0000, 0.0000, 0.0000), Sm at (0.0000, 0.0000, 0.5000), Cr at (0.2500, 0.2500, 0.7500), Sn at (0.2500, 0.2500, 0.2500) and O at (0.0035, 0.2500, 0.7500).

The magnetization is 12.00 Bohr magnetons per cell. As for the total energy: -7.09 eV per atom. The density of states at the Fermi level is 0.00 states/eV/cell.

No. 7
Material: Sr2SmCrO6
Method: DFT, GGA+U
State: relaxed

The space group is Fm-3m (No. 225) and the conventional cell measures 8.2851, 8.2851 and 8.2851 Å, with angles of 90.00, 90.00 and 90.00 degrees. The asymmetric unit holds Sr at (0.2500, 0.2500, 0.2500), Sm at (0.0000, 0.0000, 0.0000), Cr at (0.0000, 0.0000, 0.5000) and O at (0.0000, 0.0000, 0.2721).

The magnetization is 3.99 Bohr magnetons per cell. As for the total energy: -6.93 eV per atom. The density of states at the Fermi level is 14.21 states/eV/cell.

No. 8
Material: SrSmCrO4
Method: DFT, GGA+U
State: relaxed

The space group is I4mm (No. 107) and the conventional cell measures 3.8917, 3.8917 and 12.2935 Å, with angles of 90.00, 90.00 and 90.00 degrees. The asymmetric unit holds Sr at (0.0000, 0.0000, 0.0000), Sm at (0.0000, 0.0000, 0.7173), Cr at (0.0000, 0.0000, 0.3584), O at (0.0000, 0.0000, 0.1920), O at (0.0000, 0.0000, 0.5295) and O at (0.0000, 0.5000, 0.3453).

The magnetization is 6.00 Bohr magnetons per cell. As for the total energy: -7.55 eV per atom. The density of states at the Fermi level is 0.00 states/eV/cell.